A plane-wave DFT calculation with PBE was carried out for a relaxed structure of TlTc2Ru.

- Calculated volume: 16.1 Å³ per atom
- Energy above the lowest structure with this stoichiometry: 157 meV/atom
- Symmetry: I4/mmm (139)
- Formation enthalpy at 0 K: 0.556 eV/atom

a = 5.1283 Å, b = 5.1283 Å, c = 5.1283 Å
α = 135.98°, β = 136.02°, γ = 63.99°
Closest atoms and distances in Å follow each position.
Sites, in units of the cell vectors:
Tc1 0.5000 0.5000 0.0000  4 Tc 2.72, 4 Ru 2.90, 4 Tl 2.90
Tc2 0.0000 0.0000 0.0000  4 Tc 2.72, 4 Ru 2.90, 4 Tl 2.90
Ru1 0.2500 0.7500 0.5000  4 Tl 2.72, 8 Tc 2.90
Tl1 0.7500 0.2500 0.5000  4 Ru 2.72, 8 Tc 2.90